A plane-wave DFT calculation with PBE was carried out for an optimized crystal structure of Ga2GeRh.

The structure in POSCAR format:
```
Ga2GeRh
1.0
-4.044 4.044 2.369
4.044 -4.044 2.369
4.044 4.044 -2.369
Ga Ge Rh
4 2 2
Cartesian
2.022 1.406 -0.592
2.638 -2.022 2.962
2.022 2.638 1.777
1.406 6.066 0.592
4.044 0.000 1.185
0.000 0.000 2.369
0.000 0.000 0.000
0.000 4.044 1.185
```

Summary:
density: 6.8 g cm⁻³
calculated total energy: -4.559 eV per atom
DFT formation energy: -0.053 eV per atom